[1]
## PrTcH2O6 (PBE-GGA)

Data for a relaxed PrTcH2O6 crystal.

Density of states at the Fermi level ... 0.0000 states/eV/atom
Magnetization ... 0.00 μB per cell
SG ... No. 1
Calculated total energy ... -6.86 eV per atom

a b c (Å): 5.2059 5.5069 5.9836
angles (deg): 89.72 115.95 121.19
Last column: nearest neighbours and their distance in Å.
Element x y z (fractional)
Pr  0.9576  0.4902  0.4713  6 O 2.33-2.58
Tc  0.0037  0.0311  0.9809  4 O 1.77-1.82
H  0.5871  0.7407  0.1675  1 O 0.98
H  0.6303  0.4426  0.7892  1 O 0.98
O  0.5411  0.8689  0.7755  1 Tc 1.82
O  0.3752  0.0220  0.1943  1 Tc 1.82
O  0.8026  0.7602  0.2105  1 H 0.98
O  0.1163  0.3389  0.1908  1 Tc 1.77
O  0.8183  0.5911  0.7628  1 H 0.98
O  0.1336  0.1921  0.7597  1 Tc 1.77



[2]
## Hf2NbInC (PBE-GGA)

Data for a relaxed Hf2NbInC crystal.

Density of states at the Fermi level ... 0.6877 states/eV/atom
Magnetization ... 1.18 μB per cell
Offset from the most stable computed form ... 2.470 eV per atom
Energy of formation ... 2.10 eV/atom
SG ... No. 123

a b c (Å): 5.0213 5.3548 5.0213
angles (deg): 90.00 90.00 90.00
Last column: nearest neighbours and their distance in Å.
Element x y z (fractional)
Nb  0.0000  0.0000  0.0000  4 Hf 2.51, 2 In 2.68
Hf  0.0000  0.0000  0.5000  2 Nb 2.51
Hf  0.5000  0.0000  0.0000  2 Nb 2.51
C  0.5000  0.5000  0.5000  4 In 3.55, 8 Hf 3.67
In  0.0000  0.5000  0.0000  2 Nb 2.68



[3]
## HfBe2RhF (PBE-GGA)

Data for a relaxed HfBe2RhF crystal.

Density of states at the Fermi level ... 0.5147 states/eV/atom
Magnetization ... 0.00 μB per cell
Raw formation energy ... 1.296 eV per atom
SG ... No. 123

a b c (Å): 5.0312 4.6920 5.0312
angles (deg): 90.00 90.00 90.00
Last column: nearest neighbours and their distance in Å.
Element x y z (fractional)
Rh  0.0000  0.5000  0.0000  2 Hf 2.35
Hf  0.0000  0.0000  0.0000  2 Rh 2.35, 4 Be 2.52
Be  0.0000  0.0000  0.5000  2 Hf 2.52
Be  0.5000  0.0000  0.0000  2 Hf 2.52
F  0.5000  0.5000  0.5000  8 Be 3.44, 4 Rh 3.56



[4]
## AlHgP2O (PBE-GGA)

Data for a relaxed AlHgP2O crystal.

Density of states at the Fermi level ... 0.5752 states/eV/atom
Magnetization ... 0.00 μB per cell
Offset from the most stable computed form ... 0.000 eV per atom
Raw formation energy ... -0.157 eV per atom
SG ... No. 123

a b c (Å): 5.0748 5.0748 3.3824
angles (deg): 90.00 90.00 90.00
Last column: nearest neighbours and their distance in Å.
Element x y z (fractional)
P  0.0000  0.5000  0.0000  2 Al 2.54
P  0.5000  0.0000  0.0000  2 Al 2.54
Hg  0.5000  0.5000  0.5000  8 P 3.05, 2 Hg 3.38
O  0.0000  0.0000  0.5000  2 Al 1.69
Al  0.0000  0.0000  0.0000  2 O 1.69



[5]
## Tb4PrHg5 (PBE-GGA)

Data for a relaxed Tb4PrHg5 crystal.

Density of states at the Fermi level ... 1.1051 states/eV/atom
Magnetization ... 1.26 μB per cell
Energy of formation ... -0.48 eV/atom
SG ... No. 123

a b c (Å): 3.7612 3.7612 18.8370
angles (deg): 90.00 90.00 90.00
Last column: nearest neighbours and their distance in Å.
Element x y z (fractional)
Tb  0.0000  0.0000  0.2045  8 Hg 3.20-3.24
Tb  0.0000  0.0000  0.4018  8 Hg 3.24
Tb  0.0000  0.0000  0.5982  8 Hg 3.24
Tb  0.0000  0.0000  0.7955  8 Hg 3.20-3.24
Pr  0.0000  0.0000  0.0000  8 Hg 3.37, 4 Pr 3.76
Hg  0.5000  0.5000  0.1102  4 Tb 3.20, 4 Pr 3.37
Hg  0.5000  0.5000  0.3031  8 Tb 3.24
Hg  0.5000  0.5000  0.5000  8 Tb 3.24
Hg  0.5000  0.5000  0.6969  8 Tb 3.24
Hg  0.5000  0.5000  0.8898  4 Tb 3.20, 4 Pr 3.37



[6]
## CdBPt3 (PBE-GGA)

Data for a relaxed CdBPt3 crystal.

Density of states at the Fermi level ... 0.3481 states/eV/atom
Magnetization ... 0.00 μB per cell
Offset from the most stable computed form ... 0.423 eV per atom
Energy of formation ... 0.07 eV/atom
SG ... No. 194

a b c (Å): 4.4497 4.4497 8.6660
angles (deg): 90.00 90.00 120.00
Last column: nearest neighbours and their distance in Å.
Element x y z (fractional)
B  0.0000  0.0000  0.0000  2 Pt 2.17
B  0.0000  0.0000  0.5000  2 Pt 2.17
Pt  0.0000  0.0000  0.2500  2 B 2.17
Pt  0.0000  0.0000  0.7500  2 B 2.17
Pt  0.3333  0.6667  0.0725  3 B 2.64, 1 Cd 2.79, 3 Pt 2.86
Pt  0.3333  0.6667  0.4275  3 B 2.64, 1 Cd 2.79, 3 Pt 2.86
Pt  0.6667  0.3333  0.5725  3 B 2.64, 1 Cd 2.79, 3 Pt 2.86
Pt  0.6667  0.3333  0.9275  3 B 2.64, 1 Cd 2.79, 3 Pt 2.86
Cd  0.3333  0.6667  0.7500  5 Pt 2.57-2.79
Cd  0.6667  0.3333  0.2500  5 Pt 2.57-2.79



[7]
## Hg4AuSCl2 (PBE-GGA)

Data for a relaxed Hg4AuSCl2 crystal.

Density of states at the Fermi level ... 0.3011 states/eV/atom
Magnetization ... 0.00 μB per cell
Raw formation energy ... -0.119 eV per atom
SG ... No. 15

a b c (Å): 8.5124 8.5124 7.7952
angles (deg): 115.88 115.88 99.22
Last column: nearest neighbours and their distance in Å.
Element x y z (fractional)
Hg  0.2166  0.7683  0.9880  2 Au 2.76-2.83, 2 Cl 2.80-2.97, 1 S 2.91
Hg  0.7317  0.2834  0.5120  2 Au 2.76-2.83, 2 Cl 2.80-2.97, 1 S 2.91
Hg  0.2683  0.7166  0.4880  2 Au 2.76-2.83, 2 Cl 2.80-2.97, 1 S 2.91
Hg  0.7834  0.2317  0.0120  2 Au 2.76-2.83, 2 Cl 2.80-2.97, 1 S 2.91
Hg  0.7743  0.7169  0.9801  2 S 2.73-2.80, 2 Cl 2.84-3.02, 1 Au 2.87
Hg  0.7831  0.7257  0.5199  2 S 2.73-2.80, 2 Cl 2.84-3.02, 1 Au 2.87
Hg  0.2169  0.2743  0.4801  2 S 2.73-2.80, 2 Cl 2.84-3.02, 1 Au 2.87
Hg  0.2257  0.2831  0.0199  2 S 2.73-2.80, 2 Cl 2.84-3.02, 1 Au 2.87
Au  0.0000  0.5000  0.0000  6 Hg 2.76-2.87
Au  0.0000  0.5000  0.5000  6 Hg 2.76-2.87
S  0.5000  0.5000  0.5000  6 Hg 2.73-2.91
S  0.0000  0.0000  0.0000  6 Hg 2.73-2.91
Cl  0.5000  0.0000  0.0000  4 Hg 2.80-2.97
Cl  0.5000  0.0000  0.5000  4 Hg 2.80-2.97
Cl  0.0000  0.0000  0.5000  4 Hg 2.84-3.02
Cl  0.5000  0.5000  0.0000  4 Hg 2.84-3.02



[8]
## La3NdOs (PBE-GGA)

Data for a relaxed La3NdOs crystal.

Density of states at the Fermi level ... 1.1236 states/eV/atom
Magnetization ... 0.00 μB per cell
Offset from the most stable computed form ... 0.000 eV per atom
Energy of formation ... -0.08 eV/atom
SG ... No. 8

a b c (Å): 3.9939 6.5766 13.0229
angles (deg): 85.16 81.18 72.32
Last column: nearest neighbours and their distance in Å.
Element x y z (fractional)
La  0.4393  0.9708  0.1507  2 Os 2.84
La  0.7733  0.6942  0.7592  2 Os 2.85
La  0.0915  0.1937  0.6234  2 Os 3.09
La  0.9876  0.1264  0.8984  3 Os 2.90-3.20
La  0.7847  0.0449  0.3857  1 Os 3.57, 3 Nd 3.60-3.85, 8 La 3.67-3.99
La  0.4244  0.6277  0.5235  9 La 3.57-3.99, 1 Os 3.63, 2 Nd 3.86
Nd  0.1207  0.4786  0.2800  2 Os 3.04
Nd  0.2262  0.5385  0.0092  3 Os 2.94-3.15
Os  0.7890  0.2916  0.1304  2 La 2.84, 4 Nd 2.94-3.04
Os  0.4241  0.3705  0.7813  6 La 2.85-3.09, 1 Nd 3.15



> What is the density of states at the Fermi level in the first record?

0.0000 states/eV/atom



> Which formula does entry 7 have?

Hg4AuSCl2



Please write out number 8 again, unchanged.
## La3NdOs (PBE-GGA)

Data for a relaxed La3NdOs crystal.

Density of states at the Fermi level ... 1.1236 states/eV/atom
Magnetization ... 0.00 μB per cell
Offset from the most stable computed form ... 0.000 eV per atom
Energy of formation ... -0.08 eV/atom
SG ... No. 8

a b c (Å): 3.9939 6.5766 13.0229
angles (deg): 85.16 81.18 72.32
Last column: nearest neighbours and their distance in Å.
Element x y z (fractional)
La  0.4393  0.9708  0.1507  2 Os 2.84
La  0.7733  0.6942  0.7592  2 Os 2.85
La  0.0915  0.1937  0.6234  2 Os 3.09
La  0.9876  0.1264  0.8984  3 Os 2.90-3.20
La  0.7847  0.0449  0.3857  1 Os 3.57, 3 Nd 3.60-3.85, 8 La 3.67-3.99
La  0.4244  0.6277  0.5235  9 La 3.57-3.99, 1 Os 3.63, 2 Nd 3.86
Nd  0.1207  0.4786  0.2800  2 Os 3.04
Nd  0.2262  0.5385  0.0092  3 Os 2.94-3.15
Os  0.7890  0.2916  0.1304  2 La 2.84, 4 Nd 2.94-3.04
Os  0.4241  0.3705  0.7813  6 La 2.85-3.09, 1 Nd 3.15